Record 1
A crystal of Sc3Nb relaxed with PBEsol, computed with meta-GGA SCAN.

Final energy, eV/atom: -18.851

Lattice parameters (Å, degrees): 4.384 4.384 5.366 114.11 114.11 90.00
Fractional positions:
Sc 0.250 0.750 0.500
Sc 0.750 0.250 0.500
Sc 0.500 0.500 0.000
Nb 0.000 0.000 0.000

***

Record 2
A crystal of Sr2YCdFe relaxed with PBEsol, computed with meta-GGA SCAN.

Final energy, eV/atom: -23.863

Lattice parameters (Å, degrees): 5.022 5.632 5.632 90.00 90.00 90.00
Site moments in Bohr magnetons follow the coordinates.
Fractional positions:
Y 0.500 0.000 0.000  -0.27
Sr 0.000 0.000 0.500  -0.02
Sr 0.000 0.500 0.000  -0.02
Fe 0.000 0.000 0.000  1.87
Cd 0.500 0.500 0.500  0.01

***

Record 3
A crystal of TcAgP relaxed with PBEsol, computed with meta-GGA SCAN.

Distance to the lowest polymorph of the same formula, meV/atom: 325
Final energy, eV/atom: -25.186

Lattice parameters (Å, degrees): 4.108 4.108 4.108 60.00 60.00 60.00
Fractional positions:
Ag 0.000 0.000 0.000
P 0.500 0.500 0.500
Tc 0.250 0.250 0.250

***

Record 4
A crystal of As2IrPt relaxed with PBEsol, computed with meta-GGA SCAN.

Distance to the lowest polymorph of the same formula, meV/atom: 232
Final energy, eV/atom: -45.302

Lattice parameters (Å, degrees): 2.873 4.602 5.544 114.52 105.02 90.00
Fractional positions:
As 0.982 0.982 0.965
As 0.777 0.277 0.554
Ir 0.494 0.494 0.988
Pt 0.247 0.747 0.494

***

Record 5
A crystal of ScCuIr2 relaxed with PBEsol, computed with meta-GGA SCAN.

Final energy, eV/atom: -43.240

Lattice parameters (Å, degrees): 2.939 4.606 5.119 116.74 106.68 90.00
Fractional positions:
Cu 0.500 0.000 0.000
Ir 0.756 0.756 0.513
Ir 0.244 0.244 0.487
Sc 0.000 0.500 0.000

***

Record 6
A crystal of Li6CoNiP2C2O14 relaxed with PBEsol, computed with meta-GGA SCAN.

Final energy, eV/atom: -8.902

Lattice parameters (Å, degrees): 4.893 6.293 8.343 90.00 95.81 90.00
Site moments in Bohr magnetons follow the coordinates.
Fractional positions:
Li 0.208 0.500 0.105  0.00
Li 0.792 0.000 0.896  0.00
Li 0.738 0.736 0.276  0.00
Li 0.738 0.264 0.276  0.00
Li 0.265 0.240 0.725  0.00
Li 0.265 0.760 0.725  0.00
Co 0.789 0.500 0.669  2.67
Ni 0.210 0.000 0.330  1.70
P 0.273 0.500 0.411  0.01
P 0.729 0.000 0.586  0.01
C 0.319 0.000 0.042  0.00
C 0.680 0.500 0.960  0.00
O 0.066 0.000 0.073  0.05
O 0.610 0.500 0.105  0.00
O 0.504 0.000 0.165  0.05
O 0.840 0.000 0.421  0.03
O 0.593 0.500 0.434  0.04
O 0.409 0.000 0.562  0.04
O 0.165 0.500 0.577  0.03
O 0.493 0.500 0.837  0.05
O 0.388 0.000 0.897  0.01
O 0.932 0.500 0.930  0.04
O 0.165 0.690 0.303  0.04
O 0.165 0.310 0.303  0.04
O 0.833 0.810 0.696  0.04
O 0.833 0.190 0.696  0.04

***

Record 7
A crystal of TeIrPb3 relaxed with PBEsol, computed with meta-GGA SCAN.

Final energy, eV/atom: -67.118

Lattice parameters (Å, degrees): 5.264 5.264 5.264 90.00 90.00 90.00
Fractional positions:
Pb 0.000 0.500 0.000
Pb 0.000 0.000 0.500
Pb 0.500 0.000 0.000
Ir 0.000 0.000 0.000
Te 0.500 0.500 0.500

***

Record 8
A crystal of LiZr2P3O12 relaxed with PBEsol, computed with meta-GGA SCAN.

Distance to the lowest polymorph of the same formula, meV/atom: 12
Final energy, eV/atom: -12.432

Lattice parameters (Å, degrees): 8.875 8.875 9.001 60.17 60.17 60.99
Fractional positions:
P 0.548 0.748 0.984
P 0.252 0.452 0.016
P 0.969 0.031 0.000
P 0.034 0.966 0.500
P 0.744 0.540 0.499
P 0.460 0.256 0.501
Zr 0.863 0.362 0.168
Zr 0.638 0.137 0.832
Zr 0.363 0.857 0.675
Zr 0.143 0.637 0.325
O 0.493 0.195 0.676
O 0.870 0.992 0.671
O 0.729 0.589 0.988
O 0.700 0.374 0.666
O 0.380 0.693 0.136
O 0.554 0.908 0.000
O 0.092 0.446 0.000
O 0.411 0.271 0.012
O 0.796 0.058 0.979
O 0.008 0.130 0.329
O 0.053 0.787 0.492
O 0.805 0.507 0.324
O 0.200 0.453 0.208
O 0.942 0.204 0.021
O 0.000 0.862 0.168
O 0.213 0.947 0.508
O 0.576 0.713 0.509
O 0.898 0.572 0.507
O 0.428 0.102 0.493
O 0.626 0.300 0.334
O 0.307 0.620 0.864
O 0.287 0.424 0.491
O 0.138 0.000 0.832
O 0.547 0.800 0.792
Li 0.324 0.163 0.306
Li 0.837 0.676 0.694

***

Record 9
A crystal of CuSi2W2 relaxed with PBEsol, computed with meta-GGA SCAN.

Final energy, eV/atom: -34.482

Lattice parameters (Å, degrees): 3.805 3.805 6.135 108.06 108.06 90.00
Fractional positions:
Cu 0.000 0.000 0.000
Si 0.601 0.601 0.201
Si 0.399 0.399 0.799
W 0.250 0.750 0.500
W 0.750 0.250 0.500

***

Record 10
A crystal of TcPbSe2 relaxed with PBEsol, computed with meta-GGA SCAN.

Distance to the lowest polymorph of the same formula, meV/atom: 0
Final energy, eV/atom: -37.774

Lattice parameters (Å, degrees): 3.103 5.741 5.857 111.80 105.36 90.00
Fractional positions:
Pb 0.819 0.256 0.637
Se 0.995 0.966 0.990
Se 0.169 0.614 0.338
Tc 0.517 0.663 0.034

***

Record 11
A crystal of HfTc2PtF relaxed with PBEsol, computed with meta-GGA SCAN.

Final energy, eV/atom: -40.810

Lattice parameters (Å, degrees): 3.856 4.772 4.772 90.00 90.00 90.00
Site moments in Bohr magnetons follow the coordinates.
Fractional positions:
Hf 0.000 0.000 0.000  -0.07
Tc 0.000 0.000 0.500  1.39
Tc 0.000 0.500 0.000  1.39
Pt 0.500 0.500 0.500  0.14
F 0.500 0.000 0.000  0.01

***

Record 12
A crystal of BaBPCl2 relaxed with PBEsol, computed with meta-GGA SCAN.

Distance to the lowest polymorph of the same formula, meV/atom: 0
Final energy, eV/atom: -15.376

Lattice parameters (Å, degrees): 3.608 5.481 5.481 90.00 90.00 90.00
Fractional positions:
P 0.500 0.000 0.000
B 0.000 0.000 0.000
Ba 0.500 0.500 0.500
Cl 0.000 0.000 0.500
Cl 0.000 0.500 0.000

***

Record 13
A crystal of CrB3Se relaxed with PBEsol, computed with meta-GGA SCAN.

Final energy, eV/atom: -10.096

Lattice parameters (Å, degrees): 4.041 4.041 4.041 90.00 90.00 90.00
Site moments in Bohr magnetons follow the coordinates.
Fractional positions:
Cr 0.500 0.500 0.500  3.90
B 0.000 0.500 0.000  -0.06
B 0.000 0.000 0.500  -0.06
B 0.500 0.000 0.000  -0.06
Se 0.000 0.000 0.000  0.05

***

Record 14
A crystal of Mn2ZnAg relaxed with PBEsol, computed with meta-GGA SCAN.

Final energy, eV/atom: -20.401

Lattice parameters (Å, degrees): 3.872 3.872 4.682 114.42 114.42 90.00
Site moments in Bohr magnetons follow the coordinates.
Fractional positions:
Ag 0.500 0.500 0.000  -0.02
Mn 0.750 0.250 0.500  3.84
Mn 0.250 0.750 0.500  3.84
Zn 0.000 0.000 0.000  -0.12

***

Record 15
A crystal of Ag2RuSeCl relaxed with PBEsol, computed with meta-GGA SCAN.

Final energy, eV/atom: -24.299

Lattice parameters (Å, degrees): 4.351 4.774 4.774 90.00 90.00 90.00
Site moments in Bohr magnetons follow the coordinates.
Fractional positions:
Ru 0.500 0.000 0.000  1.64
Se 0.500 0.500 0.500  0.08
Ag 0.000 0.000 0.500  0.02
Ag 0.000 0.500 0.000  0.02
Cl 0.000 0.000 0.000  0.08

***

Record 16
A crystal of BaAlNi2Te relaxed with PBEsol, computed with meta-GGA SCAN.

Final energy, eV/atom: -23.310

Lattice parameters (Å, degrees): 4.652 4.652 5.453 90.00 90.00 90.00
Site moments in Bohr magnetons follow the coordinates.
Fractional positions:
Ni 0.000 0.500 0.000  0.63
Ni 0.500 0.000 0.000  0.63
Te 0.000 0.000 0.500  0.04
Ba 0.500 0.500 0.500  -0.02
Al 0.000 0.000 0.000  -0.03

***

Record 17
A crystal of RuPbCl2 relaxed with PBEsol, computed with meta-GGA SCAN.

Distance to the lowest polymorph of the same formula, meV/atom: 350
Final energy, eV/atom: -31.470

Lattice parameters (Å, degrees): 3.454 3.344 8.686 90.00 90.00 121.09
Fractional positions:
Pb 0.000 0.000 0.518
Ru 0.500 0.000 0.767
Cl 0.000 0.000 0.940
Cl 0.500 0.000 0.275

***

Record 18
A crystal of KCoAu2 relaxed with PBEsol, computed with meta-GGA SCAN.

Distance to the lowest polymorph of the same formula, meV/atom: 0
Final energy, eV/atom: -40.916

Lattice parameters (Å, degrees): 2.757 4.336 7.273 95.13 90.00 108.54
Site moments in Bohr magnetons follow the coordinates.
Fractional positions:
Au 0.736 0.471 0.673  0.02
Au 0.264 0.529 0.327  0.02
Co 0.000 0.000 0.500  1.95
K 0.500 0.000 0.000  0.00

***

Record 19
A crystal of Cu3SiO relaxed with PBEsol, computed with meta-GGA SCAN.

Final energy, eV/atom: -12.200

Lattice parameters (Å, degrees): 3.940 3.940 3.940 90.00 90.00 90.00
Fractional positions:
Si 0.500 0.500 0.500
O 0.000 0.000 0.000
Cu 0.000 0.500 0.000
Cu 0.000 0.000 0.500
Cu 0.500 0.000 0.000

***

Record 20
A crystal of RbSnSb2Os relaxed with PBEsol, computed with meta-GGA SCAN.

Final energy, eV/atom: -38.110

Lattice parameters (Å, degrees): 4.806 5.696 5.696 90.00 90.00 90.00
Site moments in Bohr magnetons follow the coordinates.
Fractional positions:
Sb 0.000 0.000 0.500  -0.04
Sb 0.000 0.500 0.000  -0.04
Os 0.500 0.000 0.000  0.72
Sn 0.500 0.500 0.500  0.01
Rb 0.000 0.000 0.000  0.00

***

In μB/atom, the total moment values for the records above are, in order, 0.00; 0.28; 0.00; 0.00; 0.00; 0.19; 0.00; 0.00; 0.00; 0.00; 0.60; 0.00; 0.80; 1.92; 0.39; 0.21; 0.00; 0.49; 0.00; 0.14.